[1]
PrNd2YTm5 | PBE | optimized geometry

Values from the calculation:
Uncorrected energy, eV/atom: -4.534
SG: I4/mcm, No. 140
Energy relative to the elements, meV per atom: 259

Unit cell a=9.8451 b=9.8451 c=9.8451 alpha=127.39 beta=127.39 gamma=77.62
Last column: nearest neighbours and their distance in Å.
Fractional positions:
1 Pr 0.2500 0.2500 0.0000  10 Tm 3.57-3.84
2 Pr 0.7500 0.7500 0.0000  10 Tm 3.57-3.84
3 Nd 0.1164 0.6164 0.7328  1 Nd 2.87, 2 Tm 3.00
4 Nd 0.3836 0.1164 0.5000  1 Nd 2.87, 2 Tm 3.00
5 Nd 0.6164 0.8836 0.5000  1 Nd 2.87, 2 Tm 3.00
6 Nd 0.8836 0.3836 0.2672  1 Nd 2.87, 2 Tm 3.00
7 Y 0.2500 0.7500 0.5000  4 Tm 3.12
8 Y 0.7500 0.2500 0.5000  4 Tm 3.12
9 Tm 0.0000 0.0000 0.0000  4 Nd 3.50, 8 Tm 3.77, 2 Pr 3.84
10 Tm 0.0736 0.1520 0.5000  1 Nd 3.00, 1 Y 3.12
11 Tm 0.1520 0.6520 0.0784  1 Nd 3.00, 1 Y 3.12
12 Tm 0.3480 0.4264 0.5000  1 Nd 3.00, 1 Y 3.12
13 Tm 0.4264 0.9264 0.0784  1 Nd 3.00, 1 Y 3.12
14 Tm 0.5000 0.5000 0.0000  4 Nd 3.50, 8 Tm 3.77, 2 Pr 3.84
15 Tm 0.5736 0.0736 0.9216  1 Nd 3.00, 1 Y 3.12
16 Tm 0.6520 0.5736 0.5000  1 Nd 3.00, 1 Y 3.12
17 Tm 0.8480 0.3480 0.9216  1 Nd 3.00, 1 Y 3.12
18 Tm 0.9264 0.8480 0.5000  1 Nd 3.00, 1 Y 3.12

[2]
Pr3NdY2Tm6 | PBE | optimized geometry

Values from the calculation:
Uncorrected energy, eV/atom: -4.882
SG: C2/m, No. 12
Energy relative to the elements, meV per atom: 23

Unit cell a=6.2057 b=6.2057 c=11.7652 alpha=95.04 beta=95.04 gamma=120.00
Last column: nearest neighbours and their distance in Å.
Fractional positions:
1 Pr 0.0000 0.0000 0.0000  6 Tm 3.58, 6 Pr 3.58
2 Pr 0.3332 0.6668 0.0000  6 Tm 3.58, 6 Pr 3.58-3.59
3 Pr 0.6668 0.3332 0.0000  6 Tm 3.58, 6 Pr 3.58-3.59
4 Nd 0.5000 0.5000 0.5000  6 Tm 3.54, 6 Y 3.58
5 Y 0.1668 0.8332 0.5000  6 Tm 3.54, 3 Y 3.58, 3 Nd 3.58
6 Y 0.8332 0.1668 0.5000  6 Tm 3.54, 3 Y 3.58, 3 Nd 3.58
7 Tm 0.0841 0.4172 0.2521  1 Nd 3.54, 2 Y 3.54, 3 Pr 3.58, 6 Tm 3.58
8 Tm 0.2497 0.2497 0.7479  1 Nd 3.54, 2 Y 3.54, 3 Pr 3.58, 6 Tm 3.58
9 Tm 0.4172 0.0841 0.2521  1 Nd 3.54, 2 Y 3.54, 3 Pr 3.58, 6 Tm 3.58
10 Tm 0.5828 0.9159 0.7479  1 Nd 3.54, 2 Y 3.54, 3 Pr 3.58, 6 Tm 3.58
11 Tm 0.7503 0.7503 0.2521  1 Nd 3.54, 2 Y 3.54, 3 Pr 3.58, 6 Tm 3.58
12 Tm 0.9159 0.5828 0.7479  1 Nd 3.54, 2 Y 3.54, 3 Pr 3.58, 6 Tm 3.58

[3]
PrNd2Y6Tm2 | PBE | optimized geometry

Values from the calculation:
Uncorrected energy, eV/atom: -5.488
SG: C2/m, No. 12
Energy relative to the elements, meV per atom: 152

Unit cell a=6.6715 b=6.6715 c=10.7504 alpha=90.06 beta=90.06 gamma=129.43
Last column: nearest neighbours and their distance in Å.
Fractional positions:
1 Pr 0.0000 0.0000 0.0000  8 Y 3.60-3.66, 6 Tm 3.62-3.73
2 Nd 0.3641 0.6359 0.5000  1 Nd 3.28, 6 Y 3.42-3.67
3 Nd 0.6359 0.3641 0.5000  1 Nd 3.28, 6 Y 3.42-3.67
4 Y 0.1533 0.8434 0.2858  3 Nd 3.42-3.67, 5 Y 3.50-3.74, 1 Tm 3.54, 1 Pr 3.60
5 Y 0.1566 0.8467 0.7142  3 Nd 3.42-3.67, 5 Y 3.50-3.74, 1 Tm 3.54, 1 Pr 3.60
6 Y 0.4983 0.4983 0.2116  2 Tm 3.31, 4 Y 3.50, 2 Nd 3.51, 2 Pr 3.63-3.66
7 Y 0.5017 0.5017 0.7884  2 Tm 3.31, 4 Y 3.50, 2 Nd 3.51, 2 Pr 3.63-3.66
8 Y 0.8434 0.1533 0.2858  3 Nd 3.42-3.67, 5 Y 3.50-3.74, 1 Tm 3.54, 1 Pr 3.60
9 Y 0.8467 0.1566 0.7142  3 Nd 3.42-3.67, 5 Y 3.50-3.74, 1 Tm 3.54, 1 Pr 3.60
10 Tm 0.3003 0.6997 0.0000  2 Tm 3.10, 2 Y 3.31
11 Tm 0.6997 0.3003 0.0000  2 Tm 3.10, 2 Y 3.31

[4]
PrNdY2Tm | PBE | optimized geometry

Values from the calculation:
Uncorrected energy, eV/atom: -5.028
SG: Cmcm, No. 63
Energy relative to the elements, meV per atom: 361

Unit cell a=9.0048 b=9.0048 c=6.4543 alpha=90.00 beta=90.00 gamma=137.95
Last column: nearest neighbours and their distance in Å.
Fractional positions:
1 Pr 0.1588 0.8412 0.7500  1 Nd 3.08
2 Pr 0.8412 0.1588 0.2500  1 Nd 3.08
3 Nd 0.3419 0.6581 0.7500  1 Pr 3.08
4 Nd 0.6581 0.3419 0.2500  1 Pr 3.08
5 Y 0.2498 0.2498 0.0000  4 Y 3.23, 2 Nd 3.50, 2 Pr 3.51
6 Y 0.2498 0.2498 0.5000  4 Y 3.23, 2 Nd 3.50, 2 Pr 3.51
7 Y 0.7502 0.7502 0.0000  4 Y 3.23, 2 Nd 3.50, 2 Pr 3.51
8 Y 0.7502 0.7502 0.5000  4 Y 3.23, 2 Nd 3.50, 2 Pr 3.51
9 Tm 0.2482 0.7518 0.2500  4 Pr 3.56-3.59, 4 Nd 3.57-3.59
10 Tm 0.7518 0.2482 0.7500  4 Pr 3.56-3.59, 4 Nd 3.57-3.59